No. 1
Material: PbSeN2
Method: DFT, PBE-GGA
State: optimized geometry

Values from the calculation:
The calculation puts the calculated volume at 14.3 Å³/atom. The magnetic moment is 0.0 μB per formula unit. The value obtained for the formation energy from raw total energies is 1.8125 eV per atom. Its total energy is -4.1484 eV per atom. Its energy above the lowest structure with this stoichiometry is 2021.1 meV per atom.

Cell: 4.327 4.327 4.327 Å, 60.00 60.00 60.00°
Positions (direct):
Pb  0.500  0.500  0.500
Se  0.000  0.000  0.000
N  0.250  0.250  0.250
N  0.750  0.750  0.750



No. 2
Material: Hf2Sc3In
Method: DFT, PBE-GGA
State: optimized geometry

Values from the calculation:
The calculation puts the calculated volume at 23.0 Å³/atom. The magnetic moment is 0.0 μB per formula unit. The value obtained for the formation energy is -0.130 eV per atom. Its total energy is -7.0704 eV per atom.

Cell: 4.456 6.469 9.555 Å, 90.00 90.00 90.00°
Positions (direct):
Hf  0.000  0.909  0.345
Hf  0.500  0.159  0.500
Hf  0.000  0.409  0.655
Hf  0.500  0.659  0.500
Sc  0.500  0.154  0.168
Sc  0.500  0.163  0.832
Sc  0.000  0.409  0.338
Sc  0.500  0.654  0.832
Sc  0.500  0.663  0.168
Sc  0.000  0.909  0.662
In  0.000  0.908  0.003
In  0.000  0.408  0.997



No. 3
Material: Zn2SnSb2
Method: DFT, PBE-GGA
State: optimized geometry

Values from the calculation:
The calculation puts the calculated volume at 23.0 Å³/atom. The magnetic moment is 0.0 μB per formula unit. The value obtained for the formation energy from raw total energies is 0.1425 eV per atom. Its total energy is -2.8166 eV per atom.

Cell: 7.781 7.781 3.799 Å, 90.00 90.00 90.00°
Positions (direct):
Sb  0.179  0.679  0.500
Sb  0.679  0.821  0.500
Sb  0.821  0.321  0.500
Sb  0.321  0.179  0.500
Zn  0.380  0.880  0.000
Zn  0.880  0.620  0.000
Zn  0.620  0.120  0.000
Zn  0.120  0.380  0.000
Sn  0.000  0.000  0.000
Sn  0.500  0.500  0.000



No. 4
Material: Rh3PbS
Method: DFT, PBE-GGA
State: optimized geometry

Values from the calculation:
The calculation puts the calculated volume at 18.1 Å³/atom. The magnetic moment is 0.0 μB per formula unit. The value obtained for the formation energy from raw total energies is 0.0743 eV per atom. Its total energy is -5.9037 eV per atom. Its energy above the lowest structure with this stoichiometry is 0.0 meV per atom.

Cell: 4.487 4.487 4.487 Å, 90.00 90.00 90.00°
Positions (direct):
Pb  0.500  0.500  0.500
S  0.000  0.000  0.000
Rh  0.000  0.500  0.000
Rh  0.000  0.000  0.500
Rh  0.500  0.000  0.000



No. 5
Material: CaPm2PaP4
Method: DFT, PBE-GGA
State: optimized geometry

Values from the calculation:
The calculation puts the calculated volume at 24.0 Å³/atom. The magnetic moment is 0.0 μB per formula unit. The value obtained for the formation energy is -1.409 eV per atom. Its total energy is -6.7383 eV per atom.

Cell: 4.094 7.042 7.067 Å, 109.20 90.00 90.00°
Positions (direct):
Ca  0.500  0.500  0.000
Pm  0.500  0.000  0.500
Pm  0.000  0.500  0.500
Pa  0.000  0.000  0.000
P  0.500  0.238  0.239
P  0.500  0.762  0.761
P  0.000  0.239  0.758
P  0.000  0.761  0.242



No. 6
Material: SrHf2Ta
Method: DFT, PBE-GGA
State: optimized geometry

Values from the calculation:
The calculation puts the calculated volume at 25.8 Å³/atom. The magnetic moment is 0.0 μB per formula unit. The value obtained for the formation energy is 1.175 eV per atom. Its total energy is -7.1856 eV per atom. Its energy above the lowest structure with this stoichiometry is 415.3 meV per atom.

Cell: 4.471 4.471 10.814 Å, 78.07 78.07 90.00°
Positions (direct):
Sr  0.500  0.500  0.000
Sr  0.250  0.750  0.500
Hf  0.096  0.125  0.250
Hf  0.654  0.625  0.250
Hf  0.375  0.904  0.750
Hf  0.875  0.346  0.750
Ta  0.000  0.000  0.000
Ta  0.750  0.250  0.500



No. 7
Material: Ba4Ac2F
Method: DFT, PBE-GGA
State: optimized geometry

Values from the calculation:
The calculation puts the calculated volume at 45.8 Å³/atom. The magnetic moment is 0.0 μB per formula unit. The value obtained for the formation energy from raw total energies is -0.5088 eV per atom. Its total energy is -3.0487 eV per atom.

Cell: 5.531 5.531 11.184 Å, 104.32 104.32 90.00°
Positions (direct):
Ac  0.673  0.673  0.347
Ac  0.327  0.327  0.653
Ba  0.854  0.854  0.707
Ba  0.146  0.146  0.293
Ba  0.000  0.500  0.000
Ba  0.500  0.000  0.000
F  0.000  0.000  0.000



No. 8
Material: SiTe
Method: DFT, PBE-GGA
State: optimized geometry

Values from the calculation:
The calculation puts the calculated volume at 27.2 Å³/atom. The magnetic moment is 0.0 μB per formula unit. The value obtained for the formation energy from raw total energies is 0.2700 eV per atom. Its total energy is -4.0124 eV per atom.

Cell: 6.610 6.610 4.188 Å, 90.00 90.00 143.55°
Positions (direct):
Si  0.656  0.344  0.750
Si  0.344  0.656  0.250
Te  0.866  0.134  0.750
Te  0.134  0.866  0.250